VASP calculation (PBE) on PmSmCd14 after structural relaxation.

Its total magnetization is 0.00 μB per formula unit. As for the formation energy: -0.151 eV/atom. The calculation puts the uncorrected energy at -1.5436 eV per atom.

Unit cell a=6.6812 b=6.6812 c=8.4599 alpha=90.00 beta=90.00 gamma=90.00
Closest atoms and distances in Å follow each position.
Element x y z (fractional)
Pm1 0.0000 0.0000 0.0000  12 Cd 3.24-3.34
Sm1 0.5000 0.5000 0.0000  12 Cd 3.23-3.34
Cd1 0.0000 0.0000 0.5000  12 Cd 3.11-3.34
Cd2 0.0000 0.5000 0.0000  8 Cd 3.23, 2 Sm 3.34, 2 Pm 3.34
Cd3 0.0000 0.5000 0.5000  12 Cd 3.11-3.34
Cd4 0.2504 0.2504 0.2612  10 Cd 3.10-3.35, 1 Sm 3.23, 1 Pm 3.24
Cd5 0.2504 0.2504 0.7388  10 Cd 3.10-3.35, 1 Sm 3.23, 1 Pm 3.24
Cd6 0.2504 0.7496 0.2612  10 Cd 3.10-3.35, 1 Sm 3.23, 1 Pm 3.24
Cd7 0.2504 0.7496 0.7388  10 Cd 3.10-3.35, 1 Sm 3.23, 1 Pm 3.24
Cd8 0.5000 0.0000 0.0000  8 Cd 3.23, 2 Sm 3.34, 2 Pm 3.34
Cd9 0.5000 0.0000 0.5000  12 Cd 3.11-3.34
Cd10 0.5000 0.5000 0.5000  12 Cd 3.10-3.34
Cd11 0.7496 0.2504 0.2612  10 Cd 3.10-3.35, 1 Sm 3.23, 1 Pm 3.24
Cd12 0.7496 0.2504 0.7388  10 Cd 3.10-3.35, 1 Sm 3.23, 1 Pm 3.24
Cd13 0.7496 0.7496 0.2612  10 Cd 3.10-3.35, 1 Sm 3.23, 1 Pm 3.24
Cd14 0.7496 0.7496 0.7388  10 Cd 3.10-3.35, 1 Sm 3.23, 1 Pm 3.24